# CaLaCd2, PBEsol geometry, DFT SCAN
# Mass density: 6.050 g/cm³
# Formation energy from the elements: -0.484 eV per atom
# Total moment: 0.0 μB per formula unit
data_CaLaCd2
_chemical_formula_sum 'Ca4 La4 Cd8'
_symmetry_space_group_name_H-M 'F m -3 m'
_symmetry_Int_Tables_number 225
_symmetry_space_group_name_Hall '-F 4 2 3'
_cell_length_a 7.625
_cell_length_b 7.625
_cell_length_c 7.625
_cell_angle_alpha 90.00
_cell_angle_beta 90.00
_cell_angle_gamma 90.00
loop_
_atom_site_label
_atom_site_fract_x
_atom_site_fract_y
_atom_site_fract_z
_atom_site_occupancy
Ca1 0.000 0.000 0.000 1
La1 0.000 0.000 0.500 1
Cd1 0.250 0.250 0.250 1

***

# Be2BiTe, PBEsol geometry, DFT SCAN
# Formation energy from raw total energies: 809.3 meV per atom
# Mass density: 7.671 g/cm³
# Total moment: 0.0 μB per formula unit
data_Be2BiTe
_chemical_formula_sum 'Be8 Bi4 Te4'
_symmetry_space_group_name_H-M 'F m -3 m'
_symmetry_Int_Tables_number 225
_symmetry_space_group_name_Hall '-F 4 2 3'
_cell_length_a 6.746
_cell_length_b 6.746
_cell_length_c 6.746
_cell_angle_alpha 90.00
_cell_angle_beta 90.00
_cell_angle_gamma 90.00
loop_
_atom_site_label
_atom_site_fract_x
_atom_site_fract_y
_atom_site_fract_z
_atom_site_occupancy
Be1 0.250 0.250 0.250 1
Bi1 0.000 0.000 0.000 1
Te1 0.000 0.000 0.500 1

***

# TaAl3Ge, PBEsol geometry, DFT SCAN
# Mass density: 5.550 g/cm³
# Formation energy from the elements: 1.168 eV per atom
# Total moment: 1.1 μB per formula unit
data_TaAl3Ge
_chemical_formula_sum 'Ta1 Al3 Ge1'
_symmetry_space_group_name_H-M 'P m -3 m'
_symmetry_Int_Tables_number 221
_symmetry_space_group_name_Hall '-P 4 2 3'
_cell_length_a 4.643
_cell_length_b 4.643
_cell_length_c 4.643
_cell_angle_alpha 90.00
_cell_angle_beta 90.00
_cell_angle_gamma 90.00
loop_
_atom_site_label
_atom_site_fract_x
_atom_site_fract_y
_atom_site_fract_z
_atom_site_occupancy
Ta1 0.000 0.000 0.000 1
Al1 0.000 0.500 0.500 1
Ge1 0.500 0.500 0.500 1

***

# LiTl2Cd, PBEsol geometry, DFT SCAN
# Mass density: 9.505 g/cm³
# Formation energy from the elements: -0.114 eV per atom
# Total moment: 0.0 μB per formula unit
data_LiTl2Cd
_chemical_formula_sum 'Li2 Tl4 Cd2'
_symmetry_space_group_name_H-M 'I 4/m m m'
_symmetry_Int_Tables_number 139
_symmetry_space_group_name_Hall '-I 4 2'
_cell_length_a 4.874
_cell_length_b 4.874
_cell_length_c 7.767
_cell_angle_alpha 90.00
_cell_angle_beta 90.00
_cell_angle_gamma 90.00
loop_
_atom_site_label
_atom_site_fract_x
_atom_site_fract_y
_atom_site_fract_z
_atom_site_occupancy
Li1 0.000 0.000 0.000 1
Tl1 0.000 0.500 0.250 1
Cd1 0.000 0.000 0.500 1

***

# KReTe2, PBEsol geometry, DFT SCAN
# Formation energy from raw total energies: 1204.7 meV per atom
# Mass density: 7.956 g/cm³
# Total moment: 3.8 μB per formula unit
data_KReTe2
_chemical_formula_sum 'K4 Re4 Te8'
_symmetry_space_group_name_H-M 'F -4 3 m'
_symmetry_Int_Tables_number 216
_symmetry_space_group_name_Hall 'F -4 2 3'
_cell_length_a 7.375
_cell_length_b 7.375
_cell_length_c 7.375
_cell_angle_alpha 90.00
_cell_angle_beta 90.00
_cell_angle_gamma 90.00
loop_
_atom_site_label
_atom_site_fract_x
_atom_site_fract_y
_atom_site_fract_z
_atom_site_occupancy
K1 0.000 0.000 0.000 1
Re1 0.250 0.250 0.750 1
Te1 0.000 0.000 0.500 1
Te2 0.250 0.250 0.250 1

***

# Ag2Pt, PBEsol geometry, DFT SCAN
# Mass density: 14.313 g/cm³
# Formation energy from the elements: 0.020 eV per atom
# Total moment: 0.0 μB per formula unit
data_Ag2Pt
_chemical_formula_sum 'Ag16 Pt8'
_symmetry_space_group_name_H-M 'C 1 2/m 1'
_symmetry_Int_Tables_number 12
_cell_length_a 8.059
_cell_length_b 8.027
_cell_length_c 6.222
_cell_angle_alpha 90.00
_cell_angle_beta 108.71
_cell_angle_gamma 90.00
loop_
_symmetry_equiv_pos_as_xyz
'x,y,z'
'-x,-y,-z'
'-x,y,-z'
'x,-y,z'
'x+1/2,y+1/2,z'
'-x+1/2,-y+1/2,-z'
'-x+1/2,y+1/2,-z'
'x+1/2,-y+1/2,z'
loop_
_atom_site_label
_atom_site_fract_x
_atom_site_fract_y
_atom_site_fract_z
_atom_site_occupancy
Ag1 0.086 0.000 0.330 1
Ag2 0.167 0.249 0.667 1
Ag3 0.246 0.000 0.995 1
Pt1 0.000 0.258 0.000 1
Pt2 0.078 0.500 0.334 1

***

# Hf3P2, PBEsol geometry, DFT SCAN
# Mass density: 11.371 g/cm³
# Formation energy from the elements: -1.234 eV per atom
# Total moment: 0.0 μB per formula unit
data_Hf3P2
_chemical_formula_sum 'Hf12 P8'
_symmetry_space_group_name_H-M 'P n m a'
_symmetry_Int_Tables_number 62
_cell_length_a 10.080
_cell_length_b 3.550
_cell_length_c 9.751
_cell_angle_alpha 90.00
_cell_angle_beta 90.00
_cell_angle_gamma 90.00
loop_
_symmetry_equiv_pos_as_xyz
'x,y,z'
'-x,-y,-z'
'-x+1/2,-y,z+1/2'
'x+1/2,y,-z+1/2'
'x+1/2,-y+1/2,-z+1/2'
'-x+1/2,y+1/2,z+1/2'
'-x,y+1/2,-z'
'x,-y+1/2,z'
loop_
_atom_site_label
_atom_site_fract_x
_atom_site_fract_y
_atom_site_fract_z
_atom_site_occupancy
Hf1 0.046 0.250 0.126 1
Hf2 0.124 0.750 0.565 1
Hf3 0.216 0.250 0.797 1
P1 0.027 0.750 0.320 1
P2 0.194 0.750 0.000 1

***

# Li3CdRh, PBEsol geometry, DFT SCAN
# Mass density: 4.146 g/cm³
# Formation energy from the elements: 0.239 eV per atom
# Total moment: 0.0 μB per formula unit
data_Li3CdRh
_chemical_formula_sum 'Li3 Cd1 Rh1'
_symmetry_space_group_name_H-M 'P m -3 m'
_symmetry_Int_Tables_number 221
_symmetry_space_group_name_Hall '-P 4 2 3'
_cell_length_a 4.556
_cell_length_b 4.556
_cell_length_c 4.556
_cell_angle_alpha 90.00
_cell_angle_beta 90.00
_cell_angle_gamma 90.00
loop_
_atom_site_label
_atom_site_fract_x
_atom_site_fract_y
_atom_site_fract_z
_atom_site_occupancy
Li1 0.000 0.000 0.500 1
Cd1 0.500 0.500 0.500 1
Rh1 0.000 0.000 0.000 1